Record 1
An optimized crystal structure of Zr2HgCl. Source: the Alexandria database, functional PBE.

Cell lengths 3.241, 4.960, 5.685 Å; angles 90.00, 106.17, 90.00 degrees
Space group Pm (No. 6)
Unique sites:
Zr1 0.000 0.000 0.000 (multiplicity 1)
Zr2 0.325 0.500 0.651 (multiplicity 1)
Hg1 0.729 0.000 0.469 (multiplicity 1)
Cl1 0.011 0.500 0.030 (multiplicity 1)

Results
- DOS(E_F) (states/eV/atom) = 1.13
- calculated total energy (eV for the cell shown) = -20.79
- energy above the most stable polymorph in this dataset (eV/atom) = 0.1566
- spin magnetization (μB per formula unit) = 0.00
- uncorrected formation energy (eV/atom) = -0.3873



Record 2
An optimized crystal structure of Zr2ZnBi. Source: the Alexandria database, functional PBE.

Cell lengths 7.758, 7.758, 6.137 Å; angles 90.00, 90.00, 90.00 degrees
Space group I-42d (No. 122)
Unique sites:
Zr1 0.234 0.250 0.125 (multiplicity 8)
Zn1 0.000 0.000 0.000 (multiplicity 4)
Bi1 0.000 0.000 0.500 (multiplicity 4)

Results
- DOS(E_F) (states/eV/atom) = 0.58
- calculated total energy (eV for the cell shown) = -89.48
- energy above the most stable polymorph in this dataset (eV/atom) = 0.1692
- spin magnetization (μB per formula unit) = 0.00



Record 3
An optimized crystal structure of YTa2Mn. Source: the Alexandria database, functional PBE.

Cell lengths 3.224, 4.869, 9.482 Å; angles 90.00, 90.00, 90.00 degrees
Space group Imm2 (No. 44)
Unique sites:
Y1 0.000 0.000 0.000 (multiplicity 2)
Ta1 0.000 0.000 0.438 (multiplicity 2)
Ta2 0.000 0.500 0.221 (multiplicity 2)
Mn1 0.000 0.500 0.742 (multiplicity 2)

Results
- DOS(E_F) (states/eV/atom) = 1.08
- calculated total energy (eV for the cell shown) = -75.72
- energy above the most stable polymorph in this dataset (eV/atom) = 0.1679
- spin magnetization (μB per formula unit) = 0.00



Record 4
An optimized crystal structure of Pr2SmYTm2. Source: the Alexandria database, functional PBE.

Cell lengths 7.080, 5.691, 9.841 Å; angles 90.00, 90.00, 90.00 degrees
Space group Pmma (No. 51)
Unique sites:
Pr1 0.000 0.000 0.000 (multiplicity 2)
Pr2 0.250 0.500 0.177 (multiplicity 2)
Sm1 0.250 0.000 0.659 (multiplicity 2)
Y1 0.000 0.500 0.500 (multiplicity 2)
Tm1 0.250 0.000 0.332 (multiplicity 2)
Tm2 0.250 0.500 0.835 (multiplicity 2)

Results
- DOS(E_F) (states/eV/atom) = 1.60
- calculated total energy (eV for the cell shown) = -58.61
- spin magnetization (μB per formula unit) = 0.00



Record 5
An optimized crystal structure of Ta2BeZn. Source: the Alexandria database, functional PBE.

Cell lengths 3.389, 3.389, 5.525 Å; angles 90.00, 90.00, 90.00 degrees
Space group P4mm (No. 99)
Unique sites:
Ta1 0.000 0.000 0.000 (multiplicity 1)
Ta2 0.500 0.500 0.246 (multiplicity 1)
Be1 0.500 0.500 0.776 (multiplicity 1)
Zn1 0.000 0.000 0.517 (multiplicity 1)

Results
- DOS(E_F) (states/eV/atom) = 0.91
- calculated total energy (eV for the cell shown) = -27.56
- energy above the most stable polymorph in this dataset (eV/atom) = 0.2931
- spin magnetization (μB per formula unit) = 0.00



Record 6
An optimized crystal structure of MgAs2Cl. Source: the Alexandria database, functional PBE.

Cell lengths 3.716, 3.716, 12.484 Å; angles 90.00, 90.00, 90.00 degrees
Space group I4/mmm (No. 139)
Unique sites:
Mg1 0.000 0.000 0.000 (multiplicity 2)
As1 0.000 0.500 0.250 (multiplicity 4)
Cl1 0.000 0.000 0.500 (multiplicity 2)

Results
- DOS(E_F) (states/eV/atom) = 0.55
- calculated total energy (eV for the cell shown) = -27.78
- energy above the most stable polymorph in this dataset (eV/atom) = 0.3069
- spin magnetization (μB per formula unit) = 0.00
- uncorrected formation energy (eV/atom) = -0.2879



Record 7
An optimized crystal structure of Sc2As2I. Source: the Alexandria database, functional PBE.

Cell lengths 8.087, 8.087, 3.474 Å; angles 90.00, 90.00, 90.00 degrees
Space group P4/mbm (No. 127)
Unique sites:
Sc1 0.159 0.341 0.000 (multiplicity 4)
As1 0.130 0.630 0.500 (multiplicity 4)
I1 0.000 0.000 0.500 (multiplicity 2)

Results
- DOS(E_F) (states/eV/atom) = 0.77
- calculated total energy (eV for the cell shown) = -52.88
- energy above the most stable polymorph in this dataset (eV/atom) = 0.2782
- spin magnetization (μB per formula unit) = 0.00
- uncorrected formation energy (eV/atom) = -0.5858



Record 8
An optimized crystal structure of Pb3Cl2O2. Source: the Alexandria database, functional PBE.

Cell lengths 7.179, 8.281, 6.757 Å; angles 90.00, 115.36, 90.00 degrees
Space group P2_1/c (No. 14)
Unique sites:
Pb1 0.000 0.000 0.000 (multiplicity 2)
Pb2 0.406 0.098 0.753 (multiplicity 4)
Cl1 0.157 0.667 0.937 (multiplicity 4)
O1 0.343 0.085 0.053 (multiplicity 4)

Results
- DOS(E_F) (states/eV/atom) = 0.00
- calculated total energy (eV for the cell shown) = -64.33
- energy above the most stable polymorph in this dataset (eV/atom) = 0.1382
- spin magnetization (μB per formula unit) = 0.00
- uncorrected formation energy (eV/atom) = -1.0618



Record 9
An optimized crystal structure of SmDyAgAu. Source: the Alexandria database, functional PBE.

Cell lengths 3.628, 3.628, 7.398 Å; angles 90.00, 90.00, 90.00 degrees
Space group P4mm (No. 99)
Unique sites:
Sm1 0.000 0.000 0.000 (multiplicity 1)
Dy1 0.000 0.000 0.511 (multiplicity 1)
Ag1 0.500 0.500 0.268 (multiplicity 1)
Au1 0.500 0.500 0.740 (multiplicity 1)

Results
- DOS(E_F) (states/eV/atom) = 0.56
- calculated total energy (eV for the cell shown) = -17.74
- energy above the most stable polymorph in this dataset (eV/atom) = 0.0000
- spin magnetization (μB per formula unit) = 0.00



Record 10
An optimized crystal structure of Ca2AcPmSe4. Source: the Alexandria database, functional PBE.

Cell lengths 7.358, 4.249, 7.485 Å; angles 90.00, 109.10, 90.00 degrees
Space group P2/m (No. 10)
Unique sites:
Ca1 0.000 0.000 0.000 (multiplicity 1)
Ca2 0.500 0.500 0.000 (multiplicity 1)
Ac1 0.000 0.500 0.500 (multiplicity 1)
Pm1 0.500 0.000 0.500 (multiplicity 1)
Se1 0.255 0.500 0.241 (multiplicity 2)
Se2 0.264 0.000 0.765 (multiplicity 2)

Results
- DOS(E_F) (states/eV/atom) = 0.45
- calculated total energy (eV for the cell shown) = -41.97
- spin magnetization (μB per formula unit) = 0.00
- uncorrected formation energy (eV/atom) = -1.8959



Record 11
An optimized crystal structure of Ba2UPd2Se6. Source: the Alexandria database, functional PBE.

Cell lengths 14.036, 6.972, 7.890 Å; angles 90.00, 123.91, 90.00 degrees
Space group C2/m (No. 12)
Unique sites:
Ba1 0.236 0.000 0.243 (multiplicity 4)
U1 0.000 0.000 0.500 (multiplicity 2)
Pd1 0.072 0.500 0.922 (multiplicity 4)
Se1 0.063 0.261 0.324 (multiplicity 8)
Se2 0.223 0.000 0.812 (multiplicity 4)

Results
- DOS(E_F) (states/eV/atom) = 0.66
- calculated total energy (eV for the cell shown) = -116.14
- spin magnetization (μB per formula unit) = 0.00
- uncorrected formation energy (eV/atom) = -1.0583



Record 12
An optimized crystal structure of NaMg2Tl4. Source: the Alexandria database, functional PBE.

Cell lengths 7.457, 7.457, 6.992 Å; angles 90.00, 90.00, 90.00 degrees
Space group I4/mmm (No. 139)
Unique sites:
Na1 0.000 0.000 0.000 (multiplicity 2)
Mg1 0.000 0.500 0.000 (multiplicity 4)
Tl1 0.250 0.250 0.250 (multiplicity 8)

Results
- DOS(E_F) (states/eV/atom) = 0.42
- calculated total energy (eV for the cell shown) = -27.94
- energy above the most stable polymorph in this dataset (eV/atom) = 0.0384
- spin magnetization (μB per formula unit) = 0.00